Entry 1:
Density functional theory data (GGA-PBE) for PrYEr3Tm after structural relaxation.

Cell: 3.5833 9.5095 11.8965 Å, 110.27 90.00 90.00°
Atoms (fractional coordinates):
1 Er 0.2500 0.0694 0.9062
2 Pr 0.2500 0.1298 0.6292
3 Pr 0.7500 0.8702 0.3708
4 Er 0.7500 0.3199 0.1519
5 Y 0.2500 0.1831 0.3440
6 Er 0.7500 0.9306 0.0938
7 Er 0.2500 0.5652 0.4017
8 Y 0.7500 0.8169 0.6560
9 Er 0.7500 0.4348 0.5983
10 Tm 0.7500 0.3778 0.8791
11 Tm 0.2500 0.6222 0.1209
12 Er 0.2500 0.6801 0.8481

Properties
**Electronic total energy**: -58.79 eV for the cell shown
**ΔH_f (0 K)**: 0.002 eV/atom

Entry 2:
Density functional theory data (GGA-PBE) for Tb2FeRu3 after structural relaxation.

Cell: 5.3525 5.3525 8.5281 Å, 90.00 90.00 120.00°
Atoms (fractional coordinates):
1 Fe 0.0000 0.0000 0.5000
2 Ru 0.3392 0.1696 0.7500
3 Ru 0.6608 0.8304 0.2500
4 Ru 0.1696 0.3392 0.2500
5 Fe 0.0000 0.0000 0.0000
6 Ru 0.1696 0.8304 0.2500
7 Tb 0.3333 0.6667 0.5666
8 Tb 0.3333 0.6667 0.9334
9 Ru 0.8304 0.6608 0.7500
10 Tb 0.6667 0.3333 0.0666
11 Tb 0.6667 0.3333 0.4334
12 Ru 0.8304 0.1696 0.7500

Properties
**Electronic total energy**: -94.09 eV for the cell shown
**ΔH_f (0 K)**: -0.249 eV/atom

> Look up the ΔH_f (0 K) of the second one.

-0.249 eV/atom

> The highest ΔH_f (0 K) belongs to which entry?

PrYEr3Tm

> Among the records above, which one has the lowest ΔH_f (0 K)?

Tb2FeRu3